A plane-wave DFT calculation with PBEsol was carried out for LiIrCl2 after structural relaxation.

## Properties
Distance to the lowest polymorph of the same formula (eV/atom): 0.000
Energy relative to the elements, uncorrected (meV/atom): -236

Cell lengths 6.769, 6.798, 3.062 Å; angles 90.00, 90.00, 90.00 degrees
Space group Cmmm (No. 65)
Unique sites:
Li 0.000 0.000 0.000 x2
Ir 0.000 0.500 0.000 x2
Cl 0.250 0.250 0.000 x4